Entry from Alexandria: a relaxed structure of ZrIn2Si (PBE).

Properties
energy relative to the elements, uncorrected	0.245	eV/atom
total DFT energy (no corrections)	-73.88	eV per cell

Unit cell a=7.035 b=7.035 c=7.035 alpha=90.00 beta=90.00 gamma=90.00
Space group F-43m (No. 216)
Unique sites:
Zr 0.000 0.000 0.000 [4 per cell]
In 0.000 0.000 0.500 [4 per cell]
In 0.250 0.250 0.250 [4 per cell]
Si 0.250 0.250 0.750 [4 per cell]



Entry from Alexandria: a relaxed structure of ZrIn2Si (PBE).

Properties
energy relative to the elements, uncorrected	-0.023	eV/atom
total DFT energy (no corrections)	-39.08	eV per cell

Unit cell a=4.041 b=4.701 c=9.335 alpha=90.00 beta=90.00 gamma=90.00
Space group Cmm2 (No. 35)
Unique sites:
Zr 0.000 0.000 0.000 [2 per cell]
In 0.000 0.000 0.552 [2 per cell]
In 0.000 0.500 0.257 [2 per cell]
Si 0.000 0.500 0.802 [2 per cell]